# 1
Material: RuPt
Method: DFT, PBE
State: optimized geometry

Calculated values
Raw total energy (eV per atom): -7.652
Energy relative to the elements (meV per atom): 6

a b c (Å): 4.7812 4.7812 4.7802
angles (deg): 132.15 132.15 70.01
With the nearest neighbours (Å) after each atom.
Fractional positions:
1 Ru 0.1249 0.3749 0.2500  8 Pt 2.74-2.76, 4 Ru 2.75-2.76
2 Ru 0.8751 0.6251 0.7500  8 Pt 2.74-2.76, 4 Ru 2.75-2.76
3 Pt 0.6250 0.8750 0.2500  8 Ru 2.74-2.76, 4 Pt 2.76
4 Pt 0.3750 0.1250 0.7500  8 Ru 2.74-2.76, 4 Pt 2.76



# 2
Material: Ba2PmSnTe5
Method: DFT, PBE
State: optimized geometry

Calculated values
Raw total energy (eV per atom): -4.388
E_form (uncorrected) (meV/atom): -1242.2

a b c (Å): 4.7839 10.4284 14.1761
angles (deg): 90.00 90.00 103.26
With the nearest neighbours (Å) after each atom.
Fractional positions:
1 Ba 0.8681 0.7361 0.8145  8 Te 3.56-3.88
2 Ba 0.1155 0.2309 0.6830  8 Te 3.52-3.80
3 Ba 0.1319 0.2639 0.3145  8 Te 3.56-3.88
4 Ba 0.8845 0.7691 0.1830  8 Te 3.52-3.80
5 Pm 0.7892 0.5783 0.5197  6 Te 3.08-3.32
6 Pm 0.2108 0.4217 0.0197  6 Te 3.08-3.32
7 Sn 0.5479 0.0959 0.9473  4 Te 2.88-2.98
8 Sn 0.4521 0.9041 0.4473  4 Te 2.88-2.98
9 Te 0.3620 0.7240 0.0007  1 Pm 3.08
10 Te 0.6838 0.3675 0.8673  1 Sn 2.98, 2 Pm 3.27
11 Te 0.4931 0.9863 0.7600  1 Sn 2.88
12 Te 0.2882 0.5763 0.6648  2 Pm 3.15, 1 Ba 3.52
13 Te 0.9493 0.8986 0.5668  2 Sn 2.93
14 Te 0.6380 0.2760 0.5007  1 Pm 3.08
15 Te 0.3162 0.6325 0.3673  1 Sn 2.98, 2 Pm 3.27
16 Te 0.5069 0.0137 0.2600  1 Sn 2.88
17 Te 0.7118 0.4237 0.1648  2 Pm 3.15, 1 Ba 3.52
18 Te 0.0507 0.1014 0.0668  2 Sn 2.93



# 3
Material: Ba2LiBiO6
Method: DFT, PBE
State: optimized geometry

Calculated values
Raw total energy (eV per atom): -5.471
E_form (uncorrected) (meV/atom): -1531.6

a b c (Å): 5.3962 5.8166 5.8166
angles (deg): 120.00 90.00 90.00
With the nearest neighbours (Å) after each atom.
Fractional positions:
1 Ba 0.1922 0.3333 0.6667  9 O 2.92-2.93
2 Ba 0.8078 0.6667 0.3333  9 O 2.92-2.93
3 Li 0.0000 0.0000 0.0000  6 O 2.13
4 Bi 0.5000 0.0000 0.0000  6 O 2.13
5 O 0.7513 0.1635 0.3270  1 Li 2.13, 1 Bi 2.13
6 O 0.7513 0.1635 0.8365  1 Li 2.13, 1 Bi 2.13
7 O 0.7513 0.6730 0.8365  1 Li 2.13, 1 Bi 2.13
8 O 0.2487 0.8365 0.1635  1 Li 2.13, 1 Bi 2.13
9 O 0.2487 0.3270 0.1635  1 Li 2.13, 1 Bi 2.13
10 O 0.2487 0.8365 0.6730  1 Li 2.13, 1 Bi 2.13



# 4
Material: AcY2Ag2Sn2
Method: DFT, PBE
State: optimized geometry

Calculated values
Raw total energy (eV per atom): -4.867
Energy relative to the elements (meV per atom): -475

a b c (Å): 4.9405 4.9405 9.5262
angles (deg): 74.97 74.97 60.00
With the nearest neighbours (Å) after each atom.
Fractional positions:
1 Ac 0.0000 0.0000 0.0000  6 Sn 3.51, 2 Y 3.69
2 Y 0.1355 0.1355 0.5936  3 Ag 2.94, 3 Sn 3.30
3 Y 0.8645 0.8645 0.4064  3 Ag 2.94, 3 Sn 3.30
4 Ag 0.5580 0.5580 0.3260  3 Y 2.94, 3 Sn 3.00, 1 Ag 3.16
5 Ag 0.4420 0.4420 0.6740  3 Y 2.94, 3 Sn 3.00, 1 Ag 3.16
6 Sn 0.7416 0.7416 0.7752  3 Ag 3.00, 4 Y 3.30-3.35
7 Sn 0.2584 0.2584 0.2248  3 Ag 3.00, 4 Y 3.30-3.35



# 5
Material: Ca3DySn12
Method: DFT, PBE
State: optimized geometry

Calculated values
Raw total energy (eV per atom): -4.059
Energy relative to the elements (meV per atom): -394

a b c (Å): 4.7322 4.7322 19.1068
angles (deg): 90.00 90.00 90.00
With the nearest neighbours (Å) after each atom.
Fractional positions:
1 Ca 0.0000 0.0000 0.2483  12 Sn 3.35-3.38
2 Ca 0.0000 0.0000 0.5000  12 Sn 3.35-3.36
3 Ca 0.0000 0.0000 0.7517  12 Sn 3.35-3.38
4 Dy 0.0000 0.0000 0.0000  12 Sn 3.34-3.35
5 Sn 0.5000 0.5000 0.0000  8 Sn 3.34, 4 Dy 3.35
6 Sn 0.5000 0.5000 0.2494  4 Ca 3.35, 8 Sn 3.37
7 Sn 0.5000 0.5000 0.5000  4 Ca 3.35, 8 Sn 3.36
8 Sn 0.5000 0.5000 0.7506  4 Ca 3.35, 8 Sn 3.37
9 Sn 0.5000 0.0000 0.1234  8 Sn 3.34-3.37, 2 Dy 3.34, 2 Ca 3.36
10 Sn 0.5000 0.0000 0.3748  8 Sn 3.35-3.37, 4 Ca 3.36-3.38
11 Sn 0.5000 0.0000 0.6252  8 Sn 3.35-3.37, 4 Ca 3.36-3.38
12 Sn 0.5000 0.0000 0.8766  8 Sn 3.34-3.37, 2 Dy 3.34, 2 Ca 3.36
13 Sn 0.0000 0.5000 0.1234  8 Sn 3.34-3.37, 2 Dy 3.34, 2 Ca 3.36
14 Sn 0.0000 0.5000 0.3748  8 Sn 3.35-3.37, 4 Ca 3.36-3.38
15 Sn 0.0000 0.5000 0.6252  8 Sn 3.35-3.37, 4 Ca 3.36-3.38
16 Sn 0.0000 0.5000 0.8766  8 Sn 3.34-3.37, 2 Dy 3.34, 2 Ca 3.36



# 6
Material: As7P6
Method: DFT, PBE
State: optimized geometry

Calculated values
Raw total energy (eV per atom): -4.544
Energy relative to the elements (meV per atom): 457

a b c (Å): 8.3346 8.3346 8.3346
angles (deg): 46.41 46.41 46.41
With the nearest neighbours (Å) after each atom.
Fractional positions:
1 P 0.9115 0.9115 0.9115  1 P 2.13
2 P 0.0885 0.0885 0.0885  1 P 2.13
3 P 0.8157 0.8157 0.8157  1 P 2.13
4 P 0.1843 0.1843 0.1843  1 P 2.13
5 P 0.6753 0.6753 0.6753  6 As 2.51-2.75
6 P 0.3247 0.3247 0.3247  6 As 2.51-2.75
7 As 0.9154 0.4199 0.4199  2 P 2.43-2.51, 1 As 2.67
8 As 0.4199 0.4199 0.9154  2 P 2.43-2.51, 1 As 2.67
9 As 0.4199 0.9154 0.4199  2 P 2.43-2.51, 1 As 2.67
10 As 0.0846 0.5801 0.5801  2 P 2.43-2.51, 1 As 2.67
11 As 0.5801 0.0846 0.5801  2 P 2.43-2.51, 1 As 2.67
12 As 0.5801 0.5801 0.0846  2 P 2.43-2.51, 1 As 2.67
13 As 0.5000 0.5000 0.5000  6 As 2.67